Record 1
Entry from Alexandria via LeMat-Bulk: a relaxed structure of Ho4TlHg2 (PBE-GGA).

abc: 8.9850 8.9850 8.9850
angles: 33.52 33.52 33.52
Last column: nearest neighbours and their distance in Å.
Fractional positions:
Ho 0.1177 0.1177 0.1177  4 Hg 3.12-3.39, 3 Tl 3.24
Ho 0.3706 0.3706 0.3706  4 Hg 3.04-3.20, 1 Tl 3.29
Ho 0.6294 0.6294 0.6294  4 Hg 3.04-3.20, 1 Tl 3.29
Ho 0.8823 0.8823 0.8823  4 Hg 3.12-3.39, 3 Tl 3.24
Tl 0.5000 0.5000 0.5000  8 Ho 3.24-3.29
Hg 0.2512 0.2512 0.2512  8 Ho 3.04-3.39
Hg 0.7488 0.7488 0.7488  8 Ho 3.04-3.39

Summary:
Space-group type: R-3m
V (Å³/atom): 28.14
Total moment (μB per formula unit): 0.002
Formation energy from the elements (eV/f.u.): -1.85
Total DFT energy (no corrections) (eV/atom): -3.304
Distance to the lowest polymorph of the same formula (eV/atom): 0.000


Record 2
Entry from Alexandria via LeMat-Bulk: a relaxed structure of HoTlHg4 (PBE-GGA).

abc: 4.4205 4.4318 9.0864
angles: 90.00 90.00 90.00
Last column: nearest neighbours and their distance in Å.
Fractional positions:
Ho 0.0000 0.0000 0.0000  8 Hg 3.09-3.10
Tl 0.5000 0.5000 0.5000  8 Hg 3.25
Hg 0.0000 0.5000 0.2378  2 Ho 3.09, 4 Hg 3.13, 2 Tl 3.25
Hg 0.0000 0.5000 0.7622  2 Ho 3.09, 4 Hg 3.13, 2 Tl 3.25
Hg 0.5000 0.0000 0.2385  2 Ho 3.10, 4 Hg 3.13, 2 Tl 3.25
Hg 0.5000 0.0000 0.7615  2 Ho 3.10, 4 Hg 3.13, 2 Tl 3.25

Summary:
Space-group type: Pmmm
V (Å³/atom): 29.67
Total moment (μB per formula unit): 0.000
Formation energy from the elements (eV/f.u.): -0.39
Total DFT energy (no corrections) (eV/atom): -1.423
Distance to the lowest polymorph of the same formula (eV/atom): 0.000


Record 3
Entry from Alexandria via LeMat-Bulk: a relaxed structure of Ho2Tl3Hg3 (PBE-GGA).

abc: 4.2530 4.9502 9.7964
angles: 90.00 90.00 90.00
Last column: nearest neighbours and their distance in Å.
Fractional positions:
Ho 0.0000 0.0000 0.2466  6 Hg 3.22-3.26, 6 Tl 3.27-3.51
Ho 0.0000 0.0000 0.7534  6 Hg 3.22-3.26, 6 Tl 3.27-3.51
Tl 0.0000 0.5000 0.0000  8 Hg 3.23-3.26, 4 Ho 3.46
Tl 0.0000 0.5000 0.5000  4 Hg 3.26, 4 Tl 3.26, 4 Ho 3.51
Tl 0.5000 0.0000 0.5000  4 Tl 3.26, 4 Ho 3.27, 4 Hg 3.50
Hg 0.5000 0.0000 0.0000  4 Ho 3.22, 4 Tl 3.26, 4 Hg 3.47
Hg 0.5000 0.5000 0.2478  6 Tl 3.23-3.50, 4 Ho 3.26, 2 Hg 3.47
Hg 0.5000 0.5000 0.7522  6 Tl 3.23-3.50, 4 Ho 3.26, 2 Hg 3.47

Summary:
Space-group type: Pmmm
V (Å³/atom): 25.78
Total moment (μB per formula unit): 0.000
Formation energy from the elements (eV/f.u.): -2.00
Total DFT energy (no corrections) (eV/atom): -2.395


Record 4
Entry from Alexandria via LeMat-Bulk: a relaxed structure of Ho4Tl2Hg (PBE-GGA).

abc: 7.1304 6.7467 9.1401
angles: 90.00 111.61 90.00
Last column: nearest neighbours and their distance in Å.
Fractional positions:
Ho 0.0886 0.2500 0.0557  1 Hg 3.02, 1 Tl 3.33
Ho 0.1727 0.0083 0.7317  1 Hg 2.96, 4 Tl 3.10-3.30, 1 Ho 3.26
Ho 0.1727 0.4917 0.7317  1 Hg 2.96, 4 Tl 3.10-3.30, 1 Ho 3.26
Ho 0.3126 0.7500 0.3400  1 Hg 3.04, 2 Tl 3.11-3.29
Ho 0.6874 0.2500 0.6600  1 Hg 3.04, 2 Tl 3.11-3.29
Ho 0.8273 0.5083 0.2683  1 Hg 2.96, 4 Tl 3.10-3.30, 1 Ho 3.26
Ho 0.8273 0.9917 0.2683  1 Hg 2.96, 4 Tl 3.10-3.30, 1 Ho 3.26
Ho 0.9114 0.7500 0.9443  1 Hg 3.02, 1 Tl 3.33
Tl 0.2033 0.2500 0.4436  1 Hg 2.92, 4 Ho 3.10-3.17
Tl 0.4230 0.7500 0.0413  6 Ho 3.11-3.42, 1 Hg 3.35
Tl 0.5770 0.2500 0.9587  6 Ho 3.11-3.42, 1 Hg 3.35
Tl 0.7967 0.7500 0.5564  1 Hg 2.92, 4 Ho 3.10-3.17
Hg 0.4901 0.7500 0.6977  1 Tl 2.92, 4 Ho 2.96-3.04
Hg 0.5099 0.2500 0.3023  1 Tl 2.92, 4 Ho 2.96-3.04

Summary:
Space-group type: P2_1/m
V (Å³/atom): 29.20
Total moment (μB per formula unit): 0.000
Formation energy from the elements (eV/f.u.): -1.28
Total DFT energy (no corrections) (eV/atom): -3.518
Distance to the lowest polymorph of the same formula (eV/atom): 0.064


Record 5
Entry from Alexandria via LeMat-Bulk: a relaxed structure of Ho4TlHg7 (PBE-GGA).

abc: 6.9301 6.9301 11.0090
angles: 118.97 118.97 46.26
Last column: nearest neighbours and their distance in Å.
Fractional positions:
Ho 0.0845 0.0845 0.2749  8 Hg 3.04-3.19
Ho 0.2397 0.2397 0.8264  6 Hg 3.06-3.27
Ho 0.7603 0.7603 0.1736  6 Hg 3.06-3.27
Ho 0.9155 0.9155 0.7251  8 Hg 3.04-3.19
Tl 0.5000 0.5000 0.5000  2 Hg 2.72
Hg 0.0000 0.0000 0.5000  2 Tl 2.72
Hg 0.1404 0.1404 0.0369  5 Ho 3.06-3.17, 4 Hg 3.23-3.28
Hg 0.2940 0.2940 0.5868  4 Ho 3.04-3.11, 4 Hg 3.12-3.34, 1 Tl 3.23
Hg 0.4353 0.4353 0.1509  3 Ho 3.10-3.19, 4 Hg 3.12-3.28
Hg 0.5647 0.5647 0.8491  3 Ho 3.10-3.19, 4 Hg 3.12-3.28
Hg 0.7060 0.7060 0.4132  4 Ho 3.04-3.11, 4 Hg 3.12-3.34, 1 Tl 3.23
Hg 0.8596 0.8596 0.9631  5 Ho 3.06-3.17, 4 Hg 3.23-3.28

Summary:
Space-group type: C2/m
V (Å³/atom): 27.06
Total moment (μB per formula unit): 0.000
Formation energy from the elements (eV/f.u.): -2.79
Total DFT energy (no corrections) (eV/atom): -2.132


Record 6
Entry from Alexandria via LeMat-Bulk: a relaxed structure of HoTlHg6 (PBE-GGA).

abc: 8.4469 8.4469 8.4469
angles: 44.92 44.92 44.92
Last column: nearest neighbours and their distance in Å.
Fractional positions:
Ho 0.0000 0.0000 0.0000  6 Hg 3.00
Tl 0.5000 0.5000 0.5000  12 Hg 3.57
Hg 0.0746 0.0746 0.5507  1 Ho 3.00, 3 Hg 3.04-3.07
Hg 0.0746 0.5507 0.0746  1 Ho 3.00, 3 Hg 3.04-3.07
Hg 0.4493 0.9254 0.9254  1 Ho 3.00, 3 Hg 3.04-3.07
Hg 0.5507 0.0746 0.0746  1 Ho 3.00, 3 Hg 3.04-3.07
Hg 0.9254 0.4493 0.9254  1 Ho 3.00, 3 Hg 3.04-3.07
Hg 0.9254 0.9254 0.4493  1 Ho 3.00, 3 Hg 3.04-3.07

Summary:
Space-group type: R-3m
V (Å³/atom): 34.19
Total moment (μB per formula unit): 0.000
Formation energy from the elements (eV/f.u.): 0.46
Total DFT energy (no corrections) (eV/atom): -1.037
Distance to the lowest polymorph of the same formula (eV/atom): 0.203